This record from the Alexandria database describes a relaxed ScRe2Au crystal. The functional is GGA-PBE.

Cell: 4.5506 4.5506 4.5506 Å, 60.00 60.00 60.00°
Closest atoms and distances in Å follow each position.
Fractional coordinates of all 4 atoms:
1 Sc 0.0000 0.0000 0.0000  8 Re 2.79
2 Re 0.2500 0.2500 0.2500  4 Sc 2.79, 4 Au 2.79
3 Re 0.7500 0.7500 0.7500  4 Sc 2.79, 4 Au 2.79
4 Au 0.5000 0.5000 0.5000  8 Re 2.79

Calculated values
DOS(E_F)	2.0	states/eV per cell
ΔE to the lowest computed polymorph	0.7356	eV/atom
magnetization	0.00	μB/cell

=====

This record from the Alexandria database describes a relaxed Tb3Sm3Mg2 crystal. The functional is GGA-PBE.

Cell: 6.4778 6.4778 15.7309 Å, 90.00 90.00 131.11°
Closest atoms and distances in Å follow each position.
Fractional coordinates of all 16 atoms:
1 Tb 0.0256 0.9744 0.7500  5 Sm 3.26-3.54, 2 Mg 3.35
2 Tb 0.1452 0.8548 0.0330  3 Mg 3.20-3.36, 1 Tb 3.58
3 Tb 0.1452 0.8548 0.4670  3 Mg 3.20-3.36, 1 Tb 3.58
4 Tb 0.8548 0.1452 0.5330  3 Mg 3.20-3.36, 1 Tb 3.58
5 Tb 0.8548 0.1452 0.9670  3 Mg 3.20-3.36, 1 Tb 3.58
6 Tb 0.9744 0.0256 0.2500  5 Sm 3.26-3.54, 2 Mg 3.35
7 Sm 0.2508 0.7492 0.2500  4 Mg 3.15, 1 Tb 3.26, 2 Sm 3.37
8 Sm 0.4598 0.5402 0.1036  1 Mg 3.21, 2 Sm 3.37-3.39, 2 Tb 3.54
9 Sm 0.4598 0.5402 0.3964  1 Mg 3.21, 2 Sm 3.37-3.39, 2 Tb 3.54
10 Sm 0.5402 0.4598 0.6036  1 Mg 3.21, 2 Sm 3.37-3.39, 2 Tb 3.54
11 Sm 0.5402 0.4598 0.8964  1 Mg 3.21, 2 Sm 3.37-3.39, 2 Tb 3.54
12 Sm 0.7492 0.2508 0.7500  4 Mg 3.15, 1 Tb 3.26, 2 Sm 3.37
13 Mg 0.2737 0.7263 0.6460  3 Sm 3.15-3.21, 4 Tb 3.20-3.36, 1 Mg 3.27
14 Mg 0.2737 0.7263 0.8540  3 Sm 3.15-3.21, 4 Tb 3.20-3.36, 1 Mg 3.27
15 Mg 0.7263 0.2737 0.1460  3 Sm 3.15-3.21, 4 Tb 3.20-3.36, 1 Mg 3.27
16 Mg 0.7263 0.2737 0.3540  3 Sm 3.15-3.21, 4 Tb 3.20-3.36, 1 Mg 3.27

Calculated values
DOS(E_F)	22.7	states/eV per cell
DFT total energy	-3.837	eV per atom
magnetization	0.00	μB/cell

=====

This record from the Alexandria database describes a relaxed GeTeAu3 crystal. The functional is GGA-PBE.

Cell: 8.1530 8.1530 8.2085 Å, 108.42 108.42 61.63°
Closest atoms and distances in Å follow each position.
Fractional coordinates of all 20 atoms:
1 Ge 0.0304 0.6972 0.6772  3 Au 2.58-2.81
2 Ge 0.3028 0.9696 0.8228  3 Au 2.58-2.81
3 Ge 0.6972 0.0304 0.1772  3 Au 2.58-2.81
4 Ge 0.9696 0.3028 0.3228  3 Au 2.58-2.81
5 Te 0.1084 0.8916 0.2500  2 Ge 2.90, 4 Au 2.94
6 Te 0.4451 0.5549 0.7500  4 Au 2.89-2.94, 2 Ge 2.93
7 Te 0.5549 0.4451 0.2500  4 Au 2.89-2.94, 2 Ge 2.93
8 Te 0.8916 0.1084 0.7500  2 Ge 2.90, 4 Au 2.94
9 Au 0.0189 0.6289 0.3460  2 Ge 2.58-2.81, 3 Au 2.84-2.85
10 Au 0.0675 0.3211 0.0536  1 Ge 2.64, 5 Au 2.84-2.95, 1 Te 2.94
11 Au 0.3159 0.3767 0.9145  4 Au 2.85-2.95, 2 Te 2.89-2.94
12 Au 0.3211 0.0675 0.5536  1 Ge 2.64, 5 Au 2.84-2.95, 1 Te 2.94
13 Au 0.3711 0.9811 0.1540  2 Ge 2.58-2.81, 3 Au 2.84-2.85
14 Au 0.3767 0.3159 0.4145  4 Au 2.85-2.95, 2 Te 2.89-2.94
15 Au 0.6233 0.6841 0.5855  4 Au 2.85-2.95, 2 Te 2.89-2.94
16 Au 0.6289 0.0189 0.8460  2 Ge 2.58-2.81, 3 Au 2.84-2.85
17 Au 0.6789 0.9325 0.4464  1 Ge 2.64, 5 Au 2.84-2.95, 1 Te 2.94
18 Au 0.6841 0.6233 0.0855  4 Au 2.85-2.95, 2 Te 2.89-2.94
19 Au 0.9325 0.6789 0.9464  1 Ge 2.64, 5 Au 2.84-2.95, 1 Te 2.94
20 Au 0.9811 0.3711 0.6540  2 Ge 2.58-2.81, 3 Au 2.84-2.85

Calculated values
DOS(E_F)	7.4	states/eV per cell
ΔE to the lowest computed polymorph	0.0000	eV/atom
energy relative to the elements, uncorrected	0.071	eV/atom
magnetization	0.00	μB/cell

=====

This record from the Alexandria database describes a relaxed PrYGa2Pt2 crystal. The functional is GGA-PBE.

Cell: 4.4859 4.4859 7.2741 Å, 90.00 90.00 120.00°
Closest atoms and distances in Å follow each position.
Fractional coordinates of all 6 atoms:
1 Pr 0.0000 0.0000 0.0000  6 Ga 3.26, 6 Pt 3.26, 2 Y 3.64
2 Y 0.0000 0.0000 0.5000  6 Pt 3.07, 6 Ga 3.08
3 Ga 0.3333 0.6667 0.2718  3 Pt 2.59
4 Ga 0.6667 0.3333 0.7282  3 Pt 2.59
5 Pt 0.3333 0.6667 0.7278  3 Ga 2.59
6 Pt 0.6667 0.3333 0.2722  3 Ga 2.59

Calculated values
DOS(E_F)	3.8	states/eV per cell
DFT total energy	-5.935	eV per atom
magnetization	0.00	μB/cell